! Er7Al3, relaxed, DFT PBE-GGA; values from VASP
&SYSTEM
  ibrav = 0, nat = 20, ntyp = 2
/
ATOMIC_SPECIES
Er 167.26 Er.upf
Al 26.98 Al.upf
CELL_PARAMETERS angstrom
10.1448 0.0000 0.0000
-5.0724 8.7856 0.0000
0.0000 0.0000 6.2278
ATOMIC_POSITIONS crystal
Er 0.0567 0.5284 0.0000
Er 0.1252 0.2504 0.7503
Er 0.1252 0.8748 0.7503
Er 0.2504 0.1252 0.2503
Er 0.3333 0.6667 0.5698
Er 0.4716 0.5284 0.0000
Er 0.4716 0.9433 0.0000
Er 0.5284 0.0567 0.5000
Er 0.5284 0.4716 0.5000
Er 0.6667 0.3333 0.0698
Er 0.7496 0.8748 0.7503
Er 0.8748 0.1252 0.2503
Er 0.8748 0.7496 0.2503
Er 0.9433 0.4716 0.5000
Al 0.1946 0.3893 0.2942
Al 0.1946 0.8054 0.2942
Al 0.3893 0.1946 0.7942
Al 0.6107 0.8054 0.2942
Al 0.8054 0.1946 0.7942
Al 0.8054 0.6107 0.7942
! Energy of formation ... -1.6 eV per formula unit
! Space-group type ... P6_3mc (186)
! Density of states at the Fermi level ... 27.3 states/eV per cell
! Raw total energy ... -44.76 eV per formula unit
! Crystal system ... hexagonal

! CeNd6Dy2Y, relaxed, DFT PBE-GGA; values from VASP
&SYSTEM
  ibrav = 0, nat = 10, ntyp = 4
/
ATOMIC_SPECIES
Ce 140.12 Ce.upf
Nd 144.24 Nd.upf
Dy 162.50 Dy.upf
Y 88.91 Y.upf
CELL_PARAMETERS angstrom
5.6435 -3.5438 0.0000
5.6435 3.5438 0.0000
-2.0400 0.0000 8.6566
ATOMIC_POSITIONS crystal
Ce 0.0000 0.0000 0.0000
Nd 0.0933 0.5599 0.2025
Nd 0.1252 0.1252 0.4170
Nd 0.4401 0.9067 0.7975
Nd 0.5599 0.0933 0.2025
Nd 0.8748 0.8748 0.5830
Nd 0.9067 0.4401 0.7975
Dy 0.4092 0.4092 0.8376
Dy 0.5908 0.5908 0.1624
Y 0.5000 0.5000 0.5000
! Energy of formation ... 2.4 eV per formula unit
! Space-group type ... C2/m (12)
! Density of states at the Fermi level ... 22.0 states/eV per cell
! Raw total energy ... -47.83 eV per formula unit
! Crystal system ... monoclinic

These records have calculated density values of 7.489, 6.807 g/cm3, in the order they appear.